[1]
DFT (PBE) results for a geometry-optimized Mg2NiCl structure.

Properties
ΔE to the lowest computed polymorph   8.731 kcal/mol of atoms
Volume   83.3 Å³ per cell
Formation energy from raw total energies   -0.17 eV per atom
N(E_F)   2.5 states/eV/cell

Lattice parameters (Å, degrees): 3.129 3.129 8.508 90.00 90.00 90.00
Space group P4mm (No. 99)
Unique sites:
Mg1 0.000 0.000 0.000 (multiplicity 1)
Mg2 0.500 0.500 0.297 (multiplicity 1)
Ni1 0.000 0.000 0.455 (multiplicity 1)
Cl1 0.500 0.500 0.834 (multiplicity 1)

[2]
DFT (PBE) results for a geometry-optimized MgNiCl2 structure.

Properties
ΔE to the lowest computed polymorph   2.125 kcal/mol of atoms
Volume   86.0 Å³ per cell
Formation energy from raw total energies   -0.71 eV per atom

Lattice parameters (Å, degrees): 3.607 3.651 6.599 90.00 98.08 90.00
Space group Pm (No. 6)
Unique sites:
Mg1 0.000 0.000 0.000 (multiplicity 1)
Ni1 0.518 0.500 0.108 (multiplicity 1)
Cl1 0.269 0.500 0.788 (multiplicity 1)
Cl2 0.651 0.000 0.315 (multiplicity 1)

[3]
DFT (PBE) results for a geometry-optimized MgNiCl6 structure.

Properties
ΔE to the lowest computed polymorph   0.635 kcal/mol of atoms
Volume   517.8 Å³ per cell
Formation energy from raw total energies   -0.77 eV per atom

Lattice parameters (Å, degrees): 6.0889 6.0889 16.1275 90.00 90.00 120.00
Space group R-3 (No. 148, hexagonal axes)
Unique sites:
Mg1 0.0000 0.0000 0.0000 (multiplicity 3)
Ni1 0.0000 0.0000 0.5000 (multiplicity 3)
Cl1 0.0007 0.6956 0.4198 (multiplicity 18)

[4]
DFT (PBE) results for a geometry-optimized MgNiCl6 structure.

Properties
ΔE to the lowest computed polymorph   0.000 kcal/mol of atoms
Volume   405.0 Å³ per cell
Formation energy from raw total energies   -0.80 eV per atom
N(E_F)   6.6 states/eV/cell

Lattice parameters (Å, degrees): 6.055 11.815 6.036 90.00 110.28 90.00
Space group C2/m (No. 12)
Unique sites:
Mg1 0.000 0.000 0.000 (multiplicity 2)
Ni1 0.000 0.500 0.500 (multiplicity 2)
Cl1 0.225 0.500 0.275 (multiplicity 4)
Cl2 0.231 0.365 0.733 (multiplicity 8)